The following is a DFT calculation (PBE) of a geometry-optimized ZnHg2Se structure.

a b c (Å): 7.1733 7.1733 7.1733
angles (deg): 90.00 90.00 90.00
Last column: nearest neighbours and their distance in Å.
Space group Fm-3m (No. 225)
Unique sites:
Zn  0.0000  0.0000  0.0000 (multiplicity 4)  8 Hg 3.11
Hg  0.2500  0.2500  0.2500 (multiplicity 8)  4 Se 3.11, 4 Zn 3.11
Se  0.0000  0.0000  0.5000 (multiplicity 4)  8 Hg 3.11

Calculated values
polymorph energy (0 for the lowest one): 0.430 eV/atom

***

The following is a DFT calculation (PBE) of a geometry-optimized ZnHg2Se structure.

a b c (Å): 7.0580 7.0580 8.7372
angles (deg): 90.00 90.00 90.00
Last column: nearest neighbours and their distance in Å.
Space group I-42d (No. 122)
Unique sites:
Zn  0.0000  0.0000  0.0000 (multiplicity 4)  4 Hg 2.68
Hg  0.2397  0.2500  0.1250 (multiplicity 8)  2 Zn 2.68, 2 Se 2.77
Se  0.0000  0.0000  0.5000 (multiplicity 4)  4 Hg 2.77

Calculated values
polymorph energy (0 for the lowest one): 0.281 eV/atom

***

The following is a DFT calculation (PBE) of a geometry-optimized ZnHg4Se structure.

a b c (Å): 8.5269 8.5269 8.5269
angles (deg): 90.00 90.00 90.00
Last column: nearest neighbours and their distance in Å.
Space group F-43m (No. 216)
Unique sites:
Zn  0.0000  0.0000  0.0000 (multiplicity 4)  12 Hg 3.54, 4 Se 3.69
Hg  0.1248  0.1248  0.6248 (multiplicity 16)  6 Hg 3.01-3.02
Se  0.2500  0.2500  0.2500 (multiplicity 4)  12 Hg 3.53, 4 Zn 3.69

***

The following is a DFT calculation (PBE) of a geometry-optimized ZnHgSe2 structure.

a b c (Å): 3.5596 3.5596 7.7115
angles (deg): 90.00 90.00 90.00
Last column: nearest neighbours and their distance in Å.
Space group P4/mmm (No. 123)
Unique sites:
Zn  0.0000  0.0000  0.0000 (multiplicity 1)  8 Se 2.81
Hg  0.0000  0.0000  0.5000 (multiplicity 1)  4 Hg 3.56, 8 Se 3.62, 2 Zn 3.86
Se  0.5000  0.5000  0.1625 (multiplicity 2)  1 Se 2.51

***

Formation energy from raw total energies list, top to bottom, in meV per atom: 218 69 339 106
Energy list, top to bottom, in eV/atom: -1.123 -1.272 -0.655 -2.030